A geometry-optimized Ac2CeCoO6 structure. Source: the Alexandria database, functional PBE with a Hubbard U.

Summary:
mass density	8.1	g/cm³
density of states at the Fermi level	0.000	states/eV per atom
energy	-7.761	eV/atom

Cell: 5.9254 6.0657 10.2829 Å, 90.00 124.22 90.00°
Space group P2_1/c (No. 14)
Inequivalent atoms, fractional coordinates:
Ac1 0.2328 0.0500 0.2482 [4 per cell]
Ce1 0.5000 0.0000 0.0000 [2 per cell]
Co1 0.0000 0.0000 0.5000 [2 per cell]
O1 0.1444 0.2075 0.9464 [4 per cell]
O2 0.2314 0.7018 0.9430 [4 per cell]
O3 0.3495 0.0367 0.7460 [4 per cell]